# 1
# GGA-PBE CsY3Pb, optimized geometry
# Total energy = -3.634 eV/atom
# Relative energy among the computed polymorphs = 726.1 meV per atom
# Energy of formation = 111.6 kJ/mol of atoms
data_CsY3Pb
_space_group_name_H-M_alt 'P m -3 m'
_space_group_IT_number 221
_space_group_name_Hall '-P 4 2 3'
_cell_length_a 5.642
_cell_length_b 5.642
_cell_length_c 5.642
_cell_angle_alpha 90.00
_cell_angle_beta 90.00
_cell_angle_gamma 90.00
loop_
_atom_site_label
_atom_site_type_symbol
_atom_site_fract_x
_atom_site_fract_y
_atom_site_fract_z
Cs1 Cs 0.000 0.000 0.000
Y1 Y 0.000 0.000 0.500
Pb1 Pb 0.500 0.500 0.500


# 2
# GGA-PBE Bi3WN, optimized geometry
# Total energy = -4.849 eV/atom
# Relative energy among the computed polymorphs = 533.7 meV per atom
# Formation energy (no corrections) = 1.74 eV/atom
data_Bi3WN
_space_group_name_H-M_alt 'P m -3 m'
_space_group_IT_number 221
_space_group_name_Hall '-P 4 2 3'
_cell_length_a 5.310
_cell_length_b 5.310
_cell_length_c 5.310
_cell_angle_alpha 90.00
_cell_angle_beta 90.00
_cell_angle_gamma 90.00
loop_
_atom_site_label
_atom_site_type_symbol
_atom_site_fract_x
_atom_site_fract_y
_atom_site_fract_z
Bi1 Bi 0.000 0.000 0.500
W1 W 0.000 0.000 0.000
N1 N 0.500 0.500 0.500


# 3
# GGA-PBE BaTcHg2, optimized geometry
# Total energy = -3.141 eV/atom
# Relative energy among the computed polymorphs = 102.2 meV per atom
# Energy of formation = 7.9 kJ/mol of atoms
data_BaTcHg2
_space_group_name_H-M_alt 'C 1 m 1'
_space_group_IT_number 8
_cell_length_a 13.995
_cell_length_b 3.977
_cell_length_c 8.549
_cell_angle_alpha 90.00
_cell_angle_beta 104.55
_cell_angle_gamma 90.00
loop_
_space_group_symop_operation_xyz
'x,y,z'
'x,-y,z'
'x+1/2,y+1/2,z'
'x+1/2,-y+1/2,z'
loop_
_atom_site_label
_atom_site_type_symbol
_atom_site_fract_x
_atom_site_fract_y
_atom_site_fract_z
Ba1 Ba 0.000 0.000 0.000
Ba2 Ba 0.218 0.000 0.756
Tc1 Tc 0.000 0.000 0.380
Tc2 Tc 0.408 0.000 0.299
Hg1 Hg 0.016 0.500 0.648
Hg2 Hg 0.195 0.000 0.338
Hg3 Hg 0.269 0.500 0.104
Hg4 Hg 0.346 0.500 0.553


# 4
# GGA-PBE ZrAg2W, optimized geometry
# Total energy = -6.376 eV/atom
# Energy of formation = 41.0 kJ/mol of atoms
data_ZrAg2W
_space_group_name_H-M_alt 'R -3 m'
_space_group_IT_number 166
_space_group_name_Hall '-R 3 2"'
_cell_length_a 2.8714
_cell_length_b 2.8714
_cell_length_c 30.6460
_cell_angle_alpha 90.00
_cell_angle_beta 90.00
_cell_angle_gamma 120.00
loop_
_atom_site_label
_atom_site_type_symbol
_atom_site_fract_x
_atom_site_fract_y
_atom_site_fract_z
Zr1 Zr 0.0000 0.0000 0.0000
Ag1 Ag 0.0000 0.0000 0.2468
W1 W 0.0000 0.0000 0.5000


What is the formula in the first record?
CsY3Pb


Copy entry 4 word for word.
# GGA-PBE ZrAg2W, optimized geometry
# Total energy = -6.376 eV/atom
# Energy of formation = 41.0 kJ/mol of atoms
data_ZrAg2W
_space_group_name_H-M_alt 'R -3 m'
_space_group_IT_number 166
_space_group_name_Hall '-R 3 2"'
_cell_length_a 2.8714
_cell_length_b 2.8714
_cell_length_c 30.6460
_cell_angle_alpha 90.00
_cell_angle_beta 90.00
_cell_angle_gamma 120.00
loop_
_atom_site_label
_atom_site_type_symbol
_atom_site_fract_x
_atom_site_fract_y
_atom_site_fract_z
Zr1 Zr 0.0000 0.0000 0.0000
Ag1 Ag 0.0000 0.0000 0.2468
W1 W 0.0000 0.0000 0.5000


The lowest total energy belongs to which entry?
ZrAg2W